# RbCaP2Rh (GGA-PBE, optimized geometry)
data_RbCaP2Rh
_symmetry_space_group_name_H-M 'P 1'
_symmetry_Int_Tables_number 1
_symmetry_space_group_name_Hall 'P 1'
_cell_length_a 4.821
_cell_length_b 4.821
_cell_length_c 5.180
_cell_angle_alpha 90.00
_cell_angle_beta 90.00
_cell_angle_gamma 90.00
loop_
_atom_site_label
_atom_site_type_symbol
_atom_site_fract_x
_atom_site_fract_y
_atom_site_fract_z
_atom_site_occupancy
Rb1 Rb 0.000 0.000 0.000 1
Ca1 Ca 0.500 0.500 0.000 1
P1 P 0.000 0.500 0.500 1
P2 P 0.500 0.000 0.500 1
Rh1 Rh 0.500 0.500 0.500 1
# space-group type	P4/mmm (123)
# total DFT energy (no corrections)	-4.322	eV per atom

# ZnNi2H2 (GGA-PBE, optimized geometry)
data_ZnNi2H2
_symmetry_space_group_name_H-M 'P 1'
_symmetry_Int_Tables_number 1
_symmetry_space_group_name_Hall 'P 1'
_cell_length_a 5.016
_cell_length_b 5.016
_cell_length_c 5.016
_cell_angle_alpha 145.27
_cell_angle_beta 145.27
_cell_angle_gamma 49.93
loop_
_atom_site_label
_atom_site_type_symbol
_atom_site_fract_x
_atom_site_fract_y
_atom_site_fract_z
_atom_site_occupancy
Zn1 Zn 0.000 0.000 0.000 1
Ni1 Ni 0.344 0.344 0.000 1
Ni2 Ni 0.656 0.656 0.000 1
H1 H 0.250 0.750 0.500 1
H2 H 0.750 0.250 0.500 1
# energy relative to the lowest polymorph listed for this composition	0.02	eV per formula unit
# space-group type	I4/mmm (139)
# total DFT energy (no corrections)	-4.017	eV per atom

# Li2BPt4 (GGA-PBE, optimized geometry)
data_Li2BPt4
_symmetry_space_group_name_H-M 'P 1'
_symmetry_Int_Tables_number 1
_symmetry_space_group_name_Hall 'P 1'
_cell_length_a 6.963
_cell_length_b 6.963
_cell_length_c 6.963
_cell_angle_alpha 145.53
_cell_angle_beta 145.53
_cell_angle_gamma 49.54
loop_
_atom_site_label
_atom_site_type_symbol
_atom_site_fract_x
_atom_site_fract_y
_atom_site_fract_z
_atom_site_occupancy
Li1 Li 0.135 0.135 0.000 1
Li2 Li 0.865 0.865 0.000 1
B1 B 0.500 0.500 0.000 1
Pt1 Pt 0.000 0.500 0.500 1
Pt2 Pt 0.334 0.334 0.000 1
Pt3 Pt 0.500 0.000 0.500 1
Pt4 Pt 0.666 0.666 0.000 1
# space-group type	I4/mmm (139)
# total DFT energy (no corrections)	-5.099	eV per atom

# Ce6Te3As2Pb (GGA-PBE, optimized geometry)
data_Ce6Te3As2Pb
_symmetry_space_group_name_H-M 'P 1'
_symmetry_Int_Tables_number 1
_symmetry_space_group_name_Hall 'P 1'
_cell_length_a 9.888
_cell_length_b 9.888
_cell_length_c 8.889
_cell_angle_alpha 103.17
_cell_angle_beta 103.17
_cell_angle_gamma 25.70
loop_
_atom_site_label
_atom_site_type_symbol
_atom_site_fract_x
_atom_site_fract_y
_atom_site_fract_z
_atom_site_occupancy
Ce1 Ce 0.009 0.009 0.256 1
Ce2 Ce 0.328 0.328 0.430 1
Ce3 Ce 0.331 0.331 0.896 1
Ce4 Ce 0.669 0.669 0.104 1
Ce5 Ce 0.672 0.672 0.570 1
Ce6 Ce 0.991 0.991 0.744 1
Te1 Te 0.163 0.163 0.833 1
Te2 Te 0.500 0.500 0.500 1
Te3 Te 0.837 0.837 0.167 1
As1 As 0.169 0.169 0.336 1
As2 As 0.831 0.831 0.664 1
Pb1 Pb 0.500 0.500 0.000 1
# raw formation energy	-1.225	eV/atom
# space-group type	C2/m (12)
# total DFT energy (no corrections)	-6.061	eV per atom

# Ca4Mg6H19 (GGA-PBE, optimized geometry)
data_Ca4Mg6H19
_symmetry_space_group_name_H-M 'P 1'
_symmetry_Int_Tables_number 1
_symmetry_space_group_name_Hall 'P 1'
_cell_length_a 7.402
_cell_length_b 7.402
_cell_length_c 7.402
_cell_angle_alpha 109.47
_cell_angle_beta 109.47
_cell_angle_gamma 109.47
loop_
_atom_site_label
_atom_site_type_symbol
_atom_site_fract_x
_atom_site_fract_y
_atom_site_fract_z
_atom_site_occupancy
Ca1 Ca 0.000 0.000 0.323 1
Ca2 Ca 0.000 0.323 0.000 1
Ca3 Ca 0.323 0.000 0.000 1
Ca4 Ca 0.677 0.677 0.677 1
Mg1 Mg 0.171 0.500 0.671 1
Mg2 Mg 0.329 0.829 0.500 1
Mg3 Mg 0.500 0.329 0.829 1
Mg4 Mg 0.500 0.671 0.171 1
Mg5 Mg 0.671 0.171 0.500 1
Mg6 Mg 0.829 0.500 0.329 1
H1 H 0.000 0.000 0.000 1
H2 H 0.000 0.342 0.342 1
H3 H 0.000 0.658 0.658 1
H4 H 0.027 0.664 0.259 1
H5 H 0.232 0.636 0.973 1
H6 H 0.259 0.027 0.664 1
H7 H 0.336 0.364 0.596 1
H8 H 0.342 0.000 0.342 1
H9 H 0.342 0.342 0.000 1
H10 H 0.364 0.596 0.336 1
H11 H 0.404 0.768 0.741 1
H12 H 0.596 0.336 0.364 1
H13 H 0.636 0.973 0.232 1
H14 H 0.658 0.000 0.658 1
H15 H 0.658 0.658 0.000 1
H16 H 0.664 0.259 0.027 1
H17 H 0.741 0.404 0.768 1
H18 H 0.768 0.741 0.404 1
H19 H 0.973 0.232 0.636 1
# space-group type	I23 (197)
# total DFT energy (no corrections)	-3.104	eV per atom

# MgZnTc2 (GGA-PBE, optimized geometry)
data_MgZnTc2
_symmetry_space_group_name_H-M 'P 1'
_symmetry_Int_Tables_number 1
_symmetry_space_group_name_Hall 'P 1'
_cell_length_a 5.215
_cell_length_b 5.215
_cell_length_c 5.215
_cell_angle_alpha 144.50
_cell_angle_beta 132.07
_cell_angle_gamma 61.05
loop_
_atom_site_label
_atom_site_type_symbol
_atom_site_fract_x
_atom_site_fract_y
_atom_site_fract_z
_atom_site_occupancy
Mg1 Mg 0.000 0.000 0.000 1
Zn1 Zn 0.500 0.500 0.000 1
Tc1 Tc 0.257 0.757 0.500 1
Tc2 Tc 0.743 0.243 0.500 1
# energy relative to the lowest polymorph listed for this composition	0.84	eV per formula unit
# space-group type	Immm (71)
# total DFT energy (no corrections)	-5.742	eV per atom

# LiTePdN2 (GGA-PBE, optimized geometry)
data_LiTePdN2
_symmetry_space_group_name_H-M 'P 1'
_symmetry_Int_Tables_number 1
_symmetry_space_group_name_Hall 'P 1'
_cell_length_a 3.921
_cell_length_b 3.921
_cell_length_c 5.765
_cell_angle_alpha 90.00
_cell_angle_beta 90.00
_cell_angle_gamma 90.00
loop_
_atom_site_label
_atom_site_type_symbol
_atom_site_fract_x
_atom_site_fract_y
_atom_site_fract_z
_atom_site_occupancy
Li1 Li 0.000 0.000 0.000 1
Te1 Te 0.500 0.500 0.000 1
Pd1 Pd 0.500 0.500 0.500 1
N1 N 0.000 0.500 0.500 1
N2 N 0.500 0.000 0.500 1
# energy relative to the lowest polymorph listed for this composition	0.00	eV per formula unit
# raw formation energy	1.134	eV/atom
# space-group type	P4/mmm (123)
# total DFT energy (no corrections)	-4.246	eV per atom

# RbCa2GeBr8 (GGA-PBE, optimized geometry)
data_RbCa2GeBr8
_symmetry_space_group_name_H-M 'P 1'
_symmetry_Int_Tables_number 1
_symmetry_space_group_name_Hall 'P 1'
_cell_length_a 6.666
_cell_length_b 6.916
_cell_length_c 9.111
_cell_angle_alpha 89.97
_cell_angle_beta 89.96
_cell_angle_gamma 88.74
loop_
_atom_site_label
_atom_site_type_symbol
_atom_site_fract_x
_atom_site_fract_y
_atom_site_fract_z
_atom_site_occupancy
Rb1 Rb 0.000 0.000 0.000 1
Ca1 Ca 0.500 0.500 0.253 1
Ca2 Ca 0.500 0.500 0.747 1
Ge1 Ge 0.000 0.000 0.500 1
Br1 Br 0.240 0.847 0.704 1
Br2 Br 0.241 0.848 0.296 1
Br3 Br 0.245 0.330 0.500 1
Br4 Br 0.270 0.384 0.000 1
Br5 Br 0.730 0.616 0.000 1
Br6 Br 0.755 0.670 0.500 1
Br7 Br 0.759 0.152 0.704 1
Br8 Br 0.760 0.153 0.296 1
# raw formation energy	-1.370	eV/atom
# space-group type	P-1 (2)
# total DFT energy (no corrections)	-3.284	eV per atom

| no. | N(E_F) (states/eV per atom) |
| --- | --- |
| 1 | 0.6764 |
| 2 | 0.3261 |
| 3 | 0.4093 |
| 4 | 3.2818 |
| 5 | 0.2039 |
| 6 | 0.6240 |
| 7 | 1.1666 |
| 8 | 0.4499 |